# K2PdPtBr

A geometry-optimized K2PdPtBr structure (PBE, Alexandria via LeMat-Bulk).

Cell lengths 6.2490, 4.8221, 6.2490 Å; angles 90.00, 90.00, 90.00 degrees
Element x y z (fractional)
K: 0.0000 0.0000 0.5000
K: 0.5000 0.0000 0.0000
Br: 0.0000 0.5000 0.0000
Pd: 0.5000 0.5000 0.5000
Pt: 0.0000 0.0000 0.0000

Computed properties:
Mass density, g/cm3: 4.05
Space group: P4/mmm, No. 123
Magnetic moment, μB/cell: 0.10
VASP energy, eV/atom: -2.8462